DFT (PBE-GGA) results for crystalline LiInAgSn at its relaxed geometry.

Properties
SG: F-43m (216)
Distance to the lowest polymorph of the same formula (eV/atom): 0.018

Lattice parameters (Å, degrees): 4.929 4.929 4.929 60.00 60.00 60.00
Atoms (fractional coordinates):
Ag 0.000 0.000 0.000
Li 0.500 0.500 0.500
Sn 0.250 0.250 0.250
In 0.750 0.750 0.750


DFT (PBE-GGA) results for crystalline NbAl5Ir6 at its relaxed geometry.

Properties
SG: Immm (71)
E (eV/atom): -7.646

Lattice parameters (Å, degrees): 4.154 6.672 7.363 116.94 106.38 90.00
Atoms (fractional coordinates):
Ir 0.168 0.912 0.335
Ir 0.168 0.423 0.335
Ir 0.832 0.088 0.665
Al 0.000 0.500 0.000
Ir 0.500 0.737 0.000
Al 0.331 0.331 0.662
Al 0.333 0.833 0.667
Al 0.667 0.167 0.333
Al 0.669 0.669 0.338
Ir 0.500 0.263 0.000
Ir 0.832 0.577 0.665
Nb 0.000 0.000 0.000


DFT (PBE-GGA) results for crystalline NaPu2UTe4 at its relaxed geometry.

Properties
SG: P2/m (10)
E (eV/atom): -7.606

Lattice parameters (Å, degrees): 4.398 7.729 7.765 108.96 90.00 90.00
Site moments in Bohr magnetons follow the coordinates.
Atoms (fractional coordinates):
Pu 0.000 0.500 0.500  -5.53
Te 0.000 0.247 0.749  0.05
Te 0.500 0.752 0.752  0.02
Na 0.500 0.500 0.000  0.00
Te 0.000 0.753 0.251  0.05
Te 0.500 0.248 0.248  0.02
Pu 0.500 0.000 0.500  -5.45
U 0.000 0.000 0.000  2.56


DFT (PBE-GGA) results for crystalline Sc4Al16Rh3 at its relaxed geometry.

Properties
SG: P4/mmm (123)
E (eV/atom): -5.272

Lattice parameters (Å, degrees): 6.015 6.015 10.988 90.00 90.00 90.00
Atoms (fractional coordinates):
Al 0.500 0.500 0.195
Al 0.251 0.749 0.376
Al 0.251 0.749 0.624
Al 0.282 0.282 0.000
Rh 0.000 0.500 0.500
Sc 0.000 0.500 0.189
Al 0.749 0.749 0.624
Al 0.749 0.251 0.376
Al 0.282 0.718 0.000
Sc 0.000 0.500 0.811
Al 0.000 0.000 0.781
Al 0.000 0.000 0.219
Al 0.718 0.718 0.000
Rh 0.500 0.000 0.500
Al 0.718 0.282 0.000
Al 0.749 0.251 0.624
Al 0.749 0.749 0.376
Al 0.500 0.500 0.805
Sc 0.500 0.000 0.811
Sc 0.500 0.000 0.189
Al 0.251 0.251 0.376
Rh 0.000 0.000 0.000
Al 0.251 0.251 0.624


DFT (PBE-GGA) results for crystalline Sc2SbOF at its relaxed geometry.

Properties
SG: P4/mmm (123)
E (eV/atom): -6.318

Lattice parameters (Å, degrees): 4.276 4.646 4.276 90.00 90.00 90.00
Atoms (fractional coordinates):
F 0.000 0.500 0.000
O 0.000 0.000 0.000
Sc 0.500 0.000 0.000
Sc 0.000 0.000 0.500
Sb 0.500 0.500 0.500


DFT (PBE-GGA) results for crystalline Ce2SnPd8 at its relaxed geometry.

Properties
SG: Immm (71)
E (eV/atom): -5.807

Lattice parameters (Å, degrees): 4.836 5.926 8.170 111.27 107.21 90.00
Site moments in Bohr magnetons follow the coordinates.
Atoms (fractional coordinates):
Pd 0.818 0.818 0.637  -0.01
Pd 0.644 0.885 0.288  -0.01
Pd 0.182 0.182 0.363  -0.01
Pd 0.356 0.115 0.712  -0.01
Pd 0.356 0.596 0.713  -0.01
Pd 0.000 0.247 0.000  -0.01
Ce 0.182 0.682 0.364  0.33
Ce 0.818 0.318 0.636  0.33
Pd 0.000 0.753 0.000  -0.01
Pd 0.644 0.404 0.287  -0.01
Sn 0.500 0.000 0.000  0.00


DFT (PBE-GGA) results for crystalline ZnIr2Pt at its relaxed geometry.

Properties
SG: R-3m (166)
E (eV/atom): -6.251

Lattice parameters (Å, degrees): 8.945 8.945 8.945 17.88 17.88 17.88
Atoms (fractional coordinates):
Pt 0.250 0.250 0.250
Ir 0.498 0.498 0.498
Zn 0.750 0.750 0.750
Ir 0.002 0.002 0.002


DFT (PBE-GGA) results for crystalline Tl3AgSe4 at its relaxed geometry.

Properties
SG: I-42m (121)
E (eV/atom): -3.166

Lattice parameters (Å, degrees): 6.379 6.379 8.027 113.41 113.41 90.00
Atoms (fractional coordinates):
Tl 0.250 0.750 0.500
Tl 0.750 0.250 0.500
Se 0.642 0.105 0.746
Se 0.895 0.895 0.254
Ag 0.000 0.000 0.000
Se 0.105 0.642 0.746
Tl 0.500 0.500 0.000
Se 0.358 0.358 0.254


DFT (PBE-GGA) results for crystalline U6SeS8 at its relaxed geometry.

Properties
SG: R-3 (148)
E (eV/atom): -8.222

Lattice parameters (Å, degrees): 7.603 7.603 8.128 62.11 62.11 60.00
Site moments in Bohr magnetons follow the coordinates.
Atoms (fractional coordinates):
S 0.333 0.333 0.000  -0.09
S 0.208 0.878 0.359  -0.07
U 0.075 0.735 0.770  2.69
S 0.792 0.122 0.641  -0.07
S 0.445 0.792 0.641  -0.07
S 0.122 0.445 0.641  -0.07
S 0.878 0.555 0.359  -0.07
U 0.265 0.581 0.230  2.69
S 0.555 0.208 0.359  -0.07
U 0.735 0.419 0.770  2.69
U 0.925 0.265 0.230  2.69
Se 0.000 0.000 0.000  -0.08
S 0.667 0.667 0.000  -0.09
U 0.419 0.075 0.770  2.69
U 0.581 0.925 0.230  2.69


DFT (PBE-GGA) results for crystalline Hf2Mo2Cl at its relaxed geometry.

Properties
SG: I4/mmm (139)
Distance to the lowest polymorph of the same formula (eV/atom): 0.000

Lattice parameters (Å, degrees): 3.653 3.653 8.191 77.12 77.12 90.00
Atoms (fractional coordinates):
Mo 0.250 0.750 0.500
Mo 0.750 0.250 0.500
Hf 0.610 0.610 0.780
Cl 0.000 0.000 0.000
Hf 0.390 0.390 0.220


DFT (PBE-GGA) results for crystalline Ce4SiP2Se at its relaxed geometry.

Properties
SG: P2/m (10)
E (eV/atom): -6.789

Lattice parameters (Å, degrees): 4.140 7.195 7.175 70.65 90.00 90.00
Site moments in Bohr magnetons follow the coordinates.
Atoms (fractional coordinates):
Se 0.000 0.500 0.500  -0.02
Ce 0.000 0.242 0.250  0.47
Si 0.500 0.500 0.000  -0.03
P 0.000 0.000 0.000  -0.03
Ce 0.500 0.761 0.243  0.62
Ce 0.000 0.758 0.750  0.47
P 0.500 0.000 0.500  -0.03
Ce 0.500 0.239 0.757  0.62


DFT (PBE-GGA) results for crystalline Cs3Sn5O12 at its relaxed geometry.

Properties
SG: Ia-3d (230)
E (eV/atom): -5.428

Lattice parameters (Å, degrees): 12.145 12.145 12.145 109.47 109.47 109.47
Site moments in Bohr magnetons follow the coordinates.
Atoms (fractional coordinates):
O 0.898 0.080 0.900  0.07
O 0.420 0.320 0.318  0.07
O 0.820 0.318 0.920  0.07
O 0.900 0.580 0.898  0.07
Sn 0.125 0.375 0.250  0.00
O 0.682 0.180 0.580  0.07
Cs 0.125 0.250 0.875  0.03
Cs 0.250 0.625 0.875  0.03
O 0.180 0.498 0.600  0.07
O 0.400 0.398 0.080  0.07
Sn 0.250 0.375 0.625  0.00
Sn 0.500 0.500 0.500  -0.01
O 0.502 0.820 0.900  0.07
O 0.498 0.180 0.100  0.07
O 0.420 0.100 0.602  0.07
Cs 0.625 0.375 0.750  0.03
O 0.502 0.682 0.102  0.07
O 0.102 0.182 0.502  0.07
Sn 0.625 0.750 0.875  0.00
Sn 0.125 0.750 0.375  0.00
O 0.682 0.502 0.602  0.07
Cs 0.125 0.875 0.750  0.03
Sn 0.000 0.500 0.000  -0.01
O 0.600 0.998 0.180  0.07
O 0.100 0.680 0.498  0.07
O 0.080 0.182 0.180  0.07
O 0.920 0.818 0.820  0.07
Sn 0.750 0.625 0.375  0.00
Sn 0.875 0.250 0.625  0.00
O 0.900 0.320 0.502  0.07
Sn 0.375 0.250 0.125  0.00
Sn 0.375 0.125 0.750  0.00
O 0.602 0.002 0.682  0.07
Sn 0.875 0.625 0.750  0.00
O 0.182 0.080 0.680  0.07
Sn 0.750 0.125 0.875  0.00
O 0.680 0.580 0.182  0.07
O 0.600 0.602 0.920  0.07
O 0.400 0.002 0.820  0.07
O 0.820 0.502 0.400  0.07
O 0.318 0.498 0.398  0.07
O 0.318 0.820 0.420  0.07
O 0.580 0.680 0.682  0.07
Cs 0.875 0.750 0.125  0.03
O 0.998 0.398 0.818  0.07
Cs 0.625 0.250 0.375  0.03
O 0.920 0.102 0.600  0.07
Sn 0.500 0.500 0.000  -0.01
O 0.498 0.318 0.898  0.07
O 0.100 0.420 0.102  0.07
Cs 0.375 0.625 0.250  0.03
O 0.398 0.400 0.580  0.07
Cs 0.750 0.875 0.625  0.03
Cs 0.875 0.125 0.250  0.03
Cs 0.375 0.750 0.625  0.03
O 0.680 0.100 0.998  0.07
O 0.818 0.898 0.998  0.07
O 0.080 0.898 0.400  0.07
O 0.580 0.900 0.398  0.07
O 0.320 0.900 0.002  0.07
O 0.898 0.818 0.498  0.07
O 0.102 0.920 0.100  0.07
O 0.602 0.600 0.420  0.07
Cs 0.750 0.375 0.125  0.03
Sn 0.000 0.000 0.000  -0.01
O 0.818 0.920 0.320  0.07
O 0.002 0.602 0.182  0.07
Sn 0.500 0.000 0.500  -0.01
Sn 0.500 0.000 0.000  -0.01
Cs 0.250 0.125 0.375  0.03
O 0.998 0.600 0.680  0.07
O 0.002 0.400 0.320  0.07
O 0.320 0.420 0.818  0.07
O 0.182 0.102 0.002  0.07
Sn 0.625 0.875 0.250  0.00
Sn 0.000 0.000 0.500  -0.01
O 0.398 0.998 0.318  0.07
Sn 0.000 0.500 0.500  -0.01
Sn 0.250 0.875 0.125  0.00
O 0.180 0.682 0.080  0.07


DFT (PBE-GGA) results for crystalline K4AsIr at its relaxed geometry.

Properties
SG: F-43m (216)
E (eV/atom): -2.106

Lattice parameters (Å, degrees): 6.302 6.302 6.302 60.00 60.00 60.00
Site moments in Bohr magnetons follow the coordinates.
Atoms (fractional coordinates):
K 0.875 0.375 0.375  0.00
Ir 0.000 0.000 0.000  0.87
K 0.375 0.875 0.375  0.00
K 0.375 0.375 0.875  0.00
As 0.750 0.750 0.750  0.17
K 0.375 0.375 0.375  0.00


DFT (PBE-GGA) results for crystalline Sc6As3H at its relaxed geometry.

Properties
SG: Cmc2_1 (36)
E (eV/atom): -6.373

Lattice parameters (Å, degrees): 6.171 8.205 8.205 100.99 90.00 90.00
Site moments in Bohr magnetons follow the coordinates.
Atoms (fractional coordinates):
As 0.480 0.272 0.067  0.00
H 0.544 0.799 0.201  0.00
Sc 0.187 0.372 0.298  0.06
Sc 0.683 0.898 0.433  0.02
As 0.391 0.394 0.606  0.00
As 0.480 0.933 0.728  0.00
Sc 0.687 0.298 0.372  0.06
As 0.980 0.067 0.272  0.00
Sc 0.187 0.702 0.628  0.06
Sc 0.183 0.102 0.567  0.02
Sc 0.194 0.772 0.228  0.13
Sc 0.157 0.048 0.952  0.23
Sc 0.183 0.433 0.898  0.02
Sc 0.683 0.567 0.102  0.02
As 0.891 0.606 0.394  0.00
Sc 0.694 0.228 0.772  0.13
H 0.044 0.201 0.799  0.00
Sc 0.687 0.628 0.702  0.06
As 0.980 0.728 0.933  0.00
Sc 0.657 0.952 0.048  0.23


DFT (PBE-GGA) results for crystalline NiMo3Pt at its relaxed geometry.

Properties
SG: Pm-3m (221)
Distance to the lowest polymorph of the same formula (eV/atom): 0.000

Lattice parameters (Å, degrees): 4.426 4.426 4.426 90.00 90.00 90.00
Atoms (fractional coordinates):
Mo 0.000 0.500 0.000
Ni 0.000 0.000 0.000
Mo 0.000 0.000 0.500
Mo 0.500 0.000 0.000
Pt 0.500 0.500 0.500


DFT (PBE-GGA) results for crystalline Mg6Sc3Ag at its relaxed geometry.

Properties
SG: P2_1/m (11)
E (eV/atom): -3.200

Lattice parameters (Å, degrees): 4.942 8.756 10.599 104.65 90.00 90.00
Site moments in Bohr magnetons follow the coordinates.
Atoms (fractional coordinates):
Sc 0.250 0.363 0.795  0.10
Mg 0.750 0.137 0.683  0.00
Mg 0.250 0.144 0.183  0.00
Mg 0.250 0.049 0.883  0.00
Sc 0.250 0.747 0.009  0.00
Mg 0.250 0.441 0.096  0.00
Mg 0.750 0.323 0.297  0.00
Sc 0.750 0.637 0.205  0.10
Mg 0.750 0.775 0.509  0.00
Mg 0.750 0.856 0.817  0.00
Mg 0.750 0.559 0.904  0.00
Mg 0.250 0.225 0.491  0.00
Sc 0.750 0.459 0.601  0.21
Mg 0.750 0.951 0.117  0.00
Sc 0.250 0.541 0.399  0.21
Sc 0.750 0.253 0.991  0.00
Mg 0.250 0.863 0.317  0.00
Ag 0.250 0.954 0.602  0.00
Ag 0.750 0.046 0.398  0.00
Mg 0.250 0.677 0.703  0.00


DFT (PBE-GGA) results for crystalline TaSbBr2 at its relaxed geometry.

Properties
SG: Cmmm (65)
Distance to the lowest polymorph of the same formula (eV/atom): 0.407

Lattice parameters (Å, degrees): 3.409 3.409 12.740 90.00 90.00 125.84
Atoms (fractional coordinates):
Br 0.000 0.000 0.584
Sb 0.500 0.500 0.250
Br 0.000 0.000 0.916
Ta 0.500 0.500 0.750


DFT (PBE-GGA) results for crystalline MoI3N at its relaxed geometry.

Properties
SG: Pm-3m (221)
Distance to the lowest polymorph of the same formula (eV/atom): 0.157

Lattice parameters (Å, degrees): 5.397 5.397 5.397 90.00 90.00 90.00
Atoms (fractional coordinates):
Mo 0.000 0.000 0.000
N 0.500 0.500 0.500
I 0.500 0.000 0.000
I 0.000 0.500 0.000
I 0.000 0.000 0.500


DFT (PBE-GGA) results for crystalline NaTbZnF6 at its relaxed geometry.

Properties
SG: P-31c (163)
E (eV/atom): -5.227

Lattice parameters (Å, degrees): 5.696 5.696 9.575 90.00 90.00 120.00
Atoms (fractional coordinates):
F 0.637 0.655 0.635
Na 0.000 0.000 0.000
Na 0.000 0.000 0.500
Tb 0.667 0.333 0.750
F 0.018 0.655 0.865
Zn 0.333 0.667 0.750
F 0.018 0.363 0.635
F 0.345 0.982 0.635
Tb 0.333 0.667 0.250
F 0.982 0.345 0.135
F 0.363 0.018 0.135
F 0.982 0.637 0.365
F 0.655 0.018 0.365
F 0.655 0.637 0.135
Zn 0.667 0.333 0.250
F 0.345 0.363 0.865
F 0.363 0.345 0.365
F 0.637 0.982 0.865


Number 1: V 85 Å³/cell. Number 2: V 173 Å³/cell. Number 3: V 250 Å³/cell. Number 4: V 398 Å³/cell. Number 5: V 85 Å³/cell. Number 6: V 207 Å³/cell. Number 7: V 59 Å³/cell. Number 8: V 270 Å³/cell. Number 9: V 342 Å³/cell. Number 10: V 104 Å³/cell. Number 11: V 202 Å³/cell. Number 12: V 1379 Å³/cell. Number 13: V 177 Å³/cell. Number 14: V 408 Å³/cell. Number 15: V 87 Å³/cell. Number 16: V 444 Å³/cell. Number 17: V 120 Å³/cell. Number 18: V 157 Å³/cell. Number 19: V 269 Å³/cell.